# 1
Computed, not measured: a relaxed Hg3Te2SeO10 crystal at the GGA-PBEsol level of DFT.

The structure in CIF format:
```
data_Hg3Te2SeO10
_chemical_formula_sum 'Hg6 Te4 Se2 O20'
_space_group_name_H-M_alt 'P 1 21 1'
_space_group_IT_number 4
_cell_length_a 8.5283
_cell_length_b 5.4712
_cell_length_c 11.0169
_cell_angle_alpha 90.00
_cell_angle_beta 109.11
_cell_angle_gamma 90.00
loop_
_space_group_symop_operation_xyz
'x,y,z'
'-x,y+1/2,-z'
loop_
_atom_site_label
_atom_site_type_symbol
_atom_site_fract_x
_atom_site_fract_y
_atom_site_fract_z
Hg1 Hg 0.0067 0.0000 0.3710
Hg2 Hg 0.0069 0.0436 0.8882
Hg3 Hg 0.3051 0.9991 0.7014
Te1 Te 0.2721 0.4881 0.4434
Te2 Te 0.3066 0.5261 0.9500
Se1 Se 0.3515 0.0048 0.2166
O1 O 0.0806 0.3802 0.3085
O2 O 0.1216 0.6778 0.9802
O3 O 0.1489 0.7004 0.5172
O4 O 0.1666 0.3314 0.8083
O5 O 0.2244 0.8316 0.2711
O6 O 0.2395 0.2025 0.5331
O7 O 0.2417 0.1870 0.0973
O8 O 0.3587 0.8062 0.8700
O9 O 0.4663 0.1758 0.3399
O10 O 0.4718 0.8161 0.1660
```

VASP energy	-4.748	eV per atom
energy relative to the elements, uncorrected	-66	kJ per mole of atoms

# 2
Computed, not measured: a relaxed SiHg2O crystal at the GGA-PBEsol level of DFT.

The structure in CIF format:
```
data_SiHg2O
_chemical_formula_sum 'Si4 Hg8 O4'
_space_group_name_H-M_alt 'I -4 2 d'
_space_group_IT_number 122
_space_group_name_Hall 'I -4 2bw'
_cell_length_a 6.0704
_cell_length_b 6.0704
_cell_length_c 8.7542
_cell_angle_alpha 90.00
_cell_angle_beta 90.00
_cell_angle_gamma 90.00
loop_
_atom_site_label
_atom_site_type_symbol
_atom_site_fract_x
_atom_site_fract_y
_atom_site_fract_z
Si1 Si 0.0000 0.0000 0.0000
Hg1 Hg 0.2165 0.7500 0.6250
O1 O 0.0000 0.0000 0.5000
```

VASP energy	-2.836	eV per atom
energy relative to the elements, uncorrected	19	kJ per mole of atoms

# 3
Computed, not measured: a relaxed Si3HgO crystal at the GGA-PBEsol level of DFT.

The structure in CIF format:
```
data_Si3HgO
_chemical_formula_sum 'Si3 Hg1 O1'
_space_group_name_H-M_alt 'P m -3 m'
_space_group_IT_number 221
_space_group_name_Hall '-P 4 2 3'
_cell_length_a 4.9395
_cell_length_b 4.9395
_cell_length_c 4.9395
_cell_angle_alpha 90.00
_cell_angle_beta 90.00
_cell_angle_gamma 90.00
loop_
_atom_site_label
_atom_site_type_symbol
_atom_site_fract_x
_atom_site_fract_y
_atom_site_fract_z
Si1 Si 0.0000 0.0000 0.5000
Hg1 Hg 0.0000 0.0000 0.0000
O1 O 0.5000 0.5000 0.5000
```

VASP energy	-2.918	eV per atom
energy relative to the elements, uncorrected	163	kJ per mole of atoms